! VSI3 (PBE, relaxed); values from VASP
! **Formation energy without anion corrections**: 0.776 eV per atom
! **Calculated total energy**: -14.018 eV/f.u.
! **Crystal system**: cubic
&SYSTEM
  ibrav = 0, nat = 5, ntyp = 3
/
ATOMIC_SPECIES
V 50.94 V.upf
S 32.06 S.upf
I 126.90 I.upf
CELL_PARAMETERS angstrom
5.558 0.000 0.000
0.000 5.558 0.000
0.000 0.000 5.558
ATOMIC_POSITIONS angstrom
V 2.779 2.779 2.779
S 0.000 0.000 0.000
I 0.000 0.000 2.779
I 0.000 2.779 0.000
I 2.779 0.000 0.000

***

! NdInPt (PBE, relaxed); values from VASP
! **Calculated total energy**: -15.967 eV/f.u.
! **ΔE_f**: -0.8068 eV/atom
! **Crystal system**: hexagonal
&SYSTEM
  ibrav = 0, nat = 3, ntyp = 3
/
ATOMIC_SPECIES
In 114.82 In.upf
Pt 195.08 Pt.upf
Nd 144.24 Nd.upf
CELL_PARAMETERS angstrom
-1.900 2.704 -1.729
-3.561 -0.545 3.062
3.484 3.053 0.945
ATOMIC_POSITIONS angstrom
In 0.819 2.304 1.363
Pt -0.317 0.451 -0.288
Nd -2.479 2.457 1.204

***

! Ac6Zn2Au (PBE, relaxed); values from VASP
! **Calculated total energy**: -32.464 eV/f.u.
! **ΔE_f**: -0.2208 eV/atom
! **Crystal system**: orthorhombic
&SYSTEM
  ibrav = 0, nat = 18, ntyp = 3
/
ATOMIC_SPECIES
Ac 227.00 Ac.upf
Zn 65.41 Zn.upf
Au 196.97 Au.upf
CELL_PARAMETERS angstrom
-5.509 -3.211 6.878
8.691 -3.308 1.217
0.354 9.371 0.110
ATOMIC_POSITIONS angstrom
Ac -3.511 0.700 4.904
Ac -0.353 2.817 5.367
Ac 1.465 -3.766 7.218
Ac 7.048 2.153 3.301
Ac 2.172 0.136 6.554
Ac -0.073 -0.614 3.304
Ac -2.213 -2.803 5.911
Ac 1.365 2.716 1.651
Ac 2.071 6.618 0.987
Ac 3.610 3.466 4.900
Ac 5.749 5.655 2.294
Ac 3.889 0.035 2.838
Zn -1.841 2.200 2.496
Zn -3.313 3.960 4.492
Zn 0.899 5.410 4.004
Zn 2.637 -2.558 4.201
Au 4.523 3.032 0.663
Au 0.000 0.000 0.000

***

! Zr3Tc2 (PBE, relaxed); values from VASP
! **Calculated total energy**: -46.792 eV/f.u.
! **ΔE_f**: -0.0830 eV/atom
! **Crystal system**: trigonal
&SYSTEM
  ibrav = 0, nat = 5, ntyp = 2
/
ATOMIC_SPECIES
Tc 98.00 Tc.upf
Zr 91.22 Zr.upf
CELL_PARAMETERS angstrom
2.310 -4.001 0.000
2.310 4.001 0.000
0.000 0.000 5.572
ATOMIC_POSITIONS angstrom
Tc 2.310 1.334 4.667
Tc 2.310 -1.334 0.905
Zr 2.310 -1.334 3.664
Zr 2.310 1.334 1.908
Zr 0.000 0.000 0.000

***

! KSr2Mo (PBE, relaxed); values from VASP
! **Calculated total energy**: -12.271 eV/f.u.
! **ΔE_f**: 0.7553 eV/atom
! **Crystal system**: tetragonal
&SYSTEM
  ibrav = 0, nat = 4, ntyp = 3
/
ATOMIC_SPECIES
Mo 95.94 Mo.upf
K 39.10 K.upf
Sr 87.62 Sr.upf
CELL_PARAMETERS angstrom
-1.149 -1.493 -3.414
-0.329 -3.518 1.651
-10.641 2.221 2.610
ATOMIC_POSITIONS angstrom
Mo -8.720 -0.840 1.075
K -3.399 -1.950 -0.230
Sr -9.789 2.043 2.401
Sr -6.173 1.288 1.514

***

! HfAlPb2 (PBE, relaxed); values from VASP
! **Calculated total energy**: -19.504 eV/f.u.
! **ΔE_f**: 0.4021 eV/atom
! **Crystal system**: tetragonal
&SYSTEM
  ibrav = 0, nat = 8, ntyp = 3
/
ATOMIC_SPECIES
Al 26.98 Al.upf
Pb 207.20 Pb.upf
Hf 178.49 Hf.upf
CELL_PARAMETERS angstrom
8.157 0.000 0.000
0.000 8.157 0.000
4.078 4.078 3.055
ATOMIC_POSITIONS angstrom
Al 4.078 4.078 0.000
Al 4.078 8.157 1.528
Pb 2.150 6.118 0.764
Pb 10.196 10.085 2.291
Pb 6.006 2.039 0.764
Pb 6.118 6.229 2.291
Hf 8.157 4.078 1.528
Hf 0.000 0.000 0.000

***

! Ac2ZnGa4Ir3 (PBE, relaxed); values from VASP
! **Calculated total energy**: -54.178 eV/f.u.
! **ΔE_f**: -0.5997 eV/atom
! **Crystal system**: tetragonal
&SYSTEM
  ibrav = 0, nat = 10, ntyp = 4
/
ATOMIC_SPECIES
Ac 227.00 Ac.upf
Ir 192.22 Ir.upf
Ga 69.72 Ga.upf
Zn 65.41 Zn.upf
CELL_PARAMETERS angstrom
-1.911 -3.726 -1.267
0.842 -1.763 3.915
-9.339 3.561 3.613
ATOMIC_POSITIONS angstrom
Ac -6.596 1.794 4.672
Ac -3.278 -0.978 0.265
Ir -9.091 1.239 2.513
Ir -4.669 1.780 1.806
Ir -0.783 -0.423 2.423
Ga -0.534 -2.745 1.324
Ga -6.818 0.372 1.634
Ga -3.055 0.444 3.302
Ga 0.000 0.000 0.000
Zn -5.204 -0.964 3.130

***

! NaMnPt (PBE, relaxed); values from VASP
! **Calculated total energy**: -16.312 eV/f.u.
! **ΔE_f**: 0.0726 eV/atom
! **Crystal system**: orthorhombic
&SYSTEM
  ibrav = 0, nat = 12, ntyp = 3
/
ATOMIC_SPECIES
Na 22.99 Na.upf
Mn 54.94 Mn.upf
Pt 195.08 Pt.upf
CELL_PARAMETERS angstrom
5.868 0.000 0.000
0.000 4.087 0.000
0.000 0.000 8.634
ATOMIC_POSITIONS angstrom
Na 3.672 3.065 8.093
Na 2.197 1.022 0.541
Na 5.131 1.022 3.776
Na 0.737 3.065 4.858
Mn 5.212 1.022 6.791
Mn 0.657 3.065 1.843
Mn 2.278 1.022 6.160
Mn 3.591 3.065 2.474
Pt 3.637 3.065 5.232
Pt 5.166 1.022 0.915
Pt 0.703 3.065 7.719
Pt 2.231 1.022 3.402